Model one:
First-principles (PBE) data for a relaxed Li3Au4 crystal, as listed in Alexandria via LeMat-Bulk.

a = 4.549 Å, b = 4.549 Å, c = 6.999 Å
α = 109.17°, β = 109.17°, γ = 59.99°
Fractional coordinates of all 7 atoms:
Li1 0.000 0.000 0.000
Li2 0.275 0.275 0.823
Li3 0.725 0.725 0.177
Au1 0.135 0.135 0.405
Au2 0.412 0.412 0.238
Au3 0.588 0.588 0.762
Au4 0.865 0.865 0.595

Computed properties:
As for the total magnetization: 0.00 Bohr magnetons per cell.


Model two:
First-principles (PBE) data for a relaxed Li3Au4 crystal, as listed in Alexandria via LeMat-Bulk.

a = 10.339 Å, b = 10.339 Å, c = 10.339 Å
α = 161.13°, β = 161.13°, γ = 26.81°
Fractional coordinates of all 7 atoms:
Li1 0.000 0.000 0.000
Li2 0.290 0.290 0.000
Li3 0.710 0.710 0.000
Au1 0.152 0.152 0.000
Au2 0.431 0.431 0.000
Au3 0.569 0.569 0.000
Au4 0.848 0.848 0.000

Computed properties:
As for the total magnetization: 0.00 Bohr magnetons per cell.


How do the energies compare? Relative to the most stable structure, in meV per atom: model one 0; model two 21.


Model one:
First-principles (PBE) data for a relaxed LiAu4 crystal, as listed in Alexandria via LeMat-Bulk.

a = 8.192 Å, b = 8.192 Å, c = 8.192 Å
α = 149.88°, β = 139.99°, γ = 50.88°
Fractional coordinates of all 10 atoms:
Li1 0.356 0.106 0.250
Li2 0.644 0.894 0.750
Au1 0.000 0.500 0.500
Au2 0.154 0.904 0.250
Au3 0.192 0.690 0.501
Au4 0.311 0.310 0.001
Au5 0.500 0.500 0.000
Au6 0.689 0.690 0.999
Au7 0.808 0.310 0.499
Au8 0.846 0.096 0.750

Computed properties:
As for the total magnetization: 0.00 Bohr magnetons per cell.


Model two:
First-principles (PBE) data for a relaxed LiAu4 crystal, as listed in Alexandria via LeMat-Bulk.

a = 4.963 Å, b = 4.963 Å, c = 4.963 Å
α = 109.47°, β = 109.47°, γ = 109.47°
Fractional coordinates of all 5 atoms:
Li1 0.000 0.000 0.000
Au1 0.000 0.000 0.500
Au2 0.000 0.500 0.000
Au3 0.500 0.000 0.000
Au4 0.500 0.500 0.500

Computed properties:
As for the total magnetization: 0.00 Bohr magnetons per cell.


How do the energies compare? Relative to the most stable structure, in meV per atom: model one 0; model two 258.


Model one:
First-principles (PBE) data for a relaxed LiAu4 crystal, as listed in Alexandria via LeMat-Bulk.

a = 4.965 Å, b = 4.965 Å, c = 4.677 Å
α = 113.57°, β = 113.57°, γ = 67.32°
Fractional coordinates of all 5 atoms:
Li1 0.000 0.000 0.000
Au1 0.000 0.500 0.500
Au2 0.376 0.376 0.121
Au3 0.500 0.000 0.500
Au4 0.624 0.624 0.879

Computed properties:
As for the total magnetization: 0.00 Bohr magnetons per cell.


Model two:
First-principles (PBE) data for a relaxed LiAu4 crystal, as listed in Alexandria via LeMat-Bulk.

a = 4.476 Å, b = 4.476 Å, c = 4.476 Å
α = 90.00°, β = 90.00°, γ = 90.00°
Fractional coordinates of all 5 atoms:
Li1 0.000 0.000 0.000
Au1 0.000 0.000 0.500
Au2 0.000 0.500 0.000
Au3 0.500 0.000 0.000
Au4 0.500 0.500 0.500

Computed properties:
As for the total magnetization: 0.00 Bohr magnetons per cell.


How do the energies compare? Relative to the most stable structure, in meV per atom: model one 0; model two 520.


Model one:
First-principles (PBE) data for a relaxed Li2Au5 crystal, as listed in Alexandria via LeMat-Bulk.

a = 7.617 Å, b = 7.617 Å, c = 7.617 Å
α = 126.47°, β = 70.79°, γ = 137.27°
Fractional coordinates of all 14 atoms:
Li1 0.126 0.222 0.348
Li2 0.374 0.722 0.097
Li3 0.626 0.278 0.903
Li4 0.874 0.778 0.652
Au1 0.019 0.750 0.269
Au2 0.088 0.836 0.924
Au3 0.250 0.750 0.500
Au4 0.412 0.336 0.747
Au5 0.481 0.750 0.731
Au6 0.519 0.250 0.269
Au7 0.588 0.664 0.253
Au8 0.750 0.250 0.500
Au9 0.912 0.164 0.076
Au10 0.981 0.250 0.731

Computed properties:
As for the total magnetization: 0.00 Bohr magnetons per cell.


Model two:
First-principles (PBE) data for a relaxed Li2Au5 crystal, as listed in Alexandria via LeMat-Bulk.

a = 6.857 Å, b = 6.857 Å, c = 7.530 Å
α = 92.65°, β = 92.65°, γ = 42.19°
Fractional coordinates of all 14 atoms:
Li1 0.103 0.745 0.896
Li2 0.255 0.897 0.604
Li3 0.745 0.103 0.396
Li4 0.897 0.255 0.104
Au1 0.046 0.378 0.820
Au2 0.190 0.540 0.538
Au3 0.321 0.679 0.250
Au4 0.378 0.046 0.320
Au5 0.460 0.810 0.962
Au6 0.540 0.190 0.038
Au7 0.622 0.954 0.680
Au8 0.679 0.321 0.750
Au9 0.810 0.460 0.462
Au10 0.954 0.622 0.180

Computed properties:
As for the total magnetization: 0.00 Bohr magnetons per cell.


How do the energies compare? Relative to the most stable structure, in meV per atom: model one 25; model two 0.